Entry 1:
First-principles (PBE-GGA) data for a relaxed TcAu2Br crystal, as listed in Alexandria via LeMat-Bulk.

a = 7.176 Å, b = 7.176 Å, c = 7.176 Å
α = 156.49°, β = 143.02°, γ = 44.28°
Fractional positions:
1 Br 0.578 0.578 0.000
2 Au 0.280 0.780 0.500
3 Au 0.911 0.911 0.000
4 Tc 0.731 0.231 0.500

- Raw formation energy: 0.398 eV/atom
- Excess energy over the best structure of this formula in the dataset: 55 meV/atom
- Spin magnetization: 0.0 μB per formula unit
- Symmetry: Imm2



Entry 2:
First-principles (PBE-GGA) data for a relaxed Sc2SnIrPd crystal, as listed in Alexandria via LeMat-Bulk.

a = 4.978 Å, b = 4.976 Å, c = 4.978 Å
α = 90.00°, β = 90.00°, γ = 90.00°
Fractional positions:
1 Sc 0.000 0.000 0.500
2 Pd 0.500 0.500 0.500
3 Sc 0.500 0.000 0.000
4 Sn 0.000 0.500 0.000
5 Ir 0.000 0.000 0.000

- Spin magnetization: 0.0 μB per formula unit
- Symmetry: P4/mmm
- Formation energy: -0.17 eV per atom



Entry 3:
First-principles (PBE-GGA) data for a relaxed Ce2Al5Cu2Ir crystal, as listed in Alexandria via LeMat-Bulk.

a = 4.054 Å, b = 9.363 Å, c = 9.363 Å
α = 90.00°, β = 90.00°, γ = 90.00°
Fractional positions:
1 Al 0.500 0.000 0.500
2 Ir 0.000 0.000 0.000
3 Al 0.500 0.697 0.450
4 Al 0.500 0.197 0.050
5 Al 0.500 0.450 0.303
6 Ir 0.000 0.500 0.500
7 Ce 0.000 0.186 0.314
8 Al 0.500 0.550 0.697
9 Ce 0.000 0.686 0.186
10 Al 0.500 0.303 0.550
11 Cu 0.000 0.109 0.609
12 Cu 0.000 0.391 0.109
13 Al 0.500 0.050 0.803
14 Cu 0.000 0.609 0.891
15 Al 0.500 0.950 0.197
16 Al 0.500 0.500 0.000
17 Ce 0.000 0.814 0.686
18 Cu 0.000 0.891 0.391
19 Al 0.500 0.803 0.950
20 Ce 0.000 0.314 0.814

- Spin magnetization: 0.0 μB per formula unit
- Symmetry: P4/mbm
- Formation energy: -0.41 eV per atom



Q: Which raw total energy values were calculated for the entries above? A: -4.251; -6.317; -5.176, in eV/atom.